Entry 1:
# AgSb2Pd, relaxed, DFT GGA-PBE
data_AgSb2Pd
_symmetry_space_group_name_H-M 'P 1'
_symmetry_Int_Tables_number 1
_cell_length_a 4.963
_cell_length_b 4.963
_cell_length_c 4.963
_cell_angle_alpha 60.00
_cell_angle_beta 60.00
_cell_angle_gamma 60.00
loop_
_symmetry_equiv_pos_as_xyz
'x,y,z'
loop_
_atom_site_label
_atom_site_type_symbol
_atom_site_fract_x
_atom_site_fract_y
_atom_site_fract_z
_atom_site_occupancy
Ag1 Ag 0.000 0.000 0.000 1
Sb1 Sb 0.250 0.250 0.250 1
Sb2 Sb 0.500 0.500 0.500 1
Pd1 Pd 0.750 0.750 0.750 1
# * raw total energy: -3.93 eV per atom
# * volume: 86.4 Å³ per cell
# * space group: F-43m

***

Entry 2:
# Ta2CuB, relaxed, DFT GGA-PBE
data_Ta2CuB
_symmetry_space_group_name_H-M 'P 1'
_symmetry_Int_Tables_number 1
_cell_length_a 4.333
_cell_length_b 4.333
_cell_length_c 4.333
_cell_angle_alpha 60.00
_cell_angle_beta 60.00
_cell_angle_gamma 60.00
loop_
_symmetry_equiv_pos_as_xyz
'x,y,z'
loop_
_atom_site_label
_atom_site_type_symbol
_atom_site_fract_x
_atom_site_fract_y
_atom_site_fract_z
_atom_site_occupancy
Ta1 Ta 0.000 0.000 0.000 1
Ta2 Ta 0.250 0.250 0.250 1
Cu1 Cu 0.750 0.750 0.750 1
B1 B 0.500 0.500 0.500 1
# * raw total energy: -7.57 eV per atom
# * volume: 57.5 Å³ per cell
# * space group: F-43m
# * size of the total moment: 0.0 μB per formula unit